(1)
4
Lattice="-1.408 1.913 1.741 1.610 -2.295 3.824 4.236 3.067 0.057" Properties=species:S:1:pos:R:3 comment="Li2LaCo | the Alexandria database | GGA-PBE | optimized geometry" dos_ef_per_ev_atom=0.740 relative_energy_mev_per_atom=143 crystal_system=orthorhombic e_form_ev_per_atom=0.27 volume_a3_per_cell=73.04 total_magnetization_mub_per_fu=0.5 pbc="T T T"
Li 0.179 0.129 0.002
La 3.278 2.109 2.825
Li 1.939 1.404 0.026
Co 1.160 0.576 2.797

(2)
20
Lattice="3.437 0.000 0.000 0.000 9.761 0.000 0.000 0.000 9.761" Properties=species:S:1:pos:R:3 comment="Tb2ZnSi2Rh5 | the Alexandria database | GGA-PBE | optimized geometry" dos_ef_per_ev_atom=0.217 crystal_system=tetragonal formation_energy_uncorrected_ev_per_atom=-0.907 volume_a3_per_cell=327.49 total_magnetization_mub_per_fu=0.0 pbc="T T T"
Rh 1.719 5.544 6.942
Rh 1.719 9.097 2.062
Rh 1.719 0.664 7.699
Rh 1.719 0.000 4.880
Si 0.000 3.654 1.226
Rh 1.719 4.217 2.819
Si 0.000 1.226 6.106
Tb 0.000 3.181 8.061
Zn 0.000 4.880 4.880
Tb 0.000 1.699 3.181
Si 0.000 6.106 8.535
Tb 0.000 8.061 6.580
Rh 1.719 4.880 0.000
Si 0.000 8.535 3.654
Rh 1.719 6.942 4.217
Tb 0.000 6.580 1.699
Rh 1.719 2.819 5.544
Zn 0.000 0.000 0.000
Rh 1.719 7.699 9.097
Rh 1.719 2.062 0.664